Entry 1:
DFT (PBE-GGA) results for crystalline RbLiInHg2 at its relaxed geometry.

abc: 5.7103 5.7103 5.5422
angles: 90.00 90.00 90.00
With the nearest neighbours (Å) after each atom.
Sites, in units of the cell vectors:
Li  0.0000  0.0000  0.5000  2 In 2.77
Hg  0.0000  0.5000  0.0000  2 In 2.86
Hg  0.5000  0.0000  0.0000  2 In 2.86
Rb  0.5000  0.5000  0.5000  8 Hg 3.98, 4 Li 4.04
In  0.0000  0.0000  0.0000  2 Li 2.77, 4 Hg 2.86

The calculation puts the final energy at -1.3394 eV per atom. The formation energy comes out at -0.095 eV per atom.

Entry 2:
DFT (PBE-GGA) results for crystalline NbTcW at its relaxed geometry.

abc: 3.1856 4.5489 13.4582
angles: 90.00 90.00 90.00
With the nearest neighbours (Å) after each atom.
Sites, in units of the cell vectors:
Nb  0.0000  0.0000  0.6020  2 Tc 2.76, 4 Nb 2.78, 2 W 2.82
Nb  0.0000  0.5000  0.1020  2 Tc 2.76, 4 Nb 2.78, 2 W 2.82
Nb  0.5000  0.0000  0.1020  2 Tc 2.76, 4 Nb 2.78, 2 W 2.82
Nb  0.5000  0.5000  0.6020  2 Tc 2.76, 4 Nb 2.78, 2 W 2.82
Tc  0.0000  0.0000  0.2692  2 W 2.68, 2 Nb 2.76, 4 Tc 2.78
Tc  0.0000  0.5000  0.7692  2 W 2.68, 2 Nb 2.76, 4 Tc 2.78
Tc  0.5000  0.0000  0.7692  2 W 2.68, 2 Nb 2.76, 4 Tc 2.78
Tc  0.5000  0.5000  0.2692  2 W 2.68, 2 Nb 2.76, 4 Tc 2.78
W  0.0000  0.0000  0.9294  2 Tc 2.68, 4 W 2.78, 2 Nb 2.82
W  0.0000  0.5000  0.4294  2 Tc 2.68, 4 W 2.78, 2 Nb 2.82
W  0.5000  0.0000  0.4294  2 Tc 2.68, 4 W 2.78, 2 Nb 2.82
W  0.5000  0.5000  0.9294  2 Tc 2.68, 4 W 2.78, 2 Nb 2.82

The calculation puts the final energy at -11.1753 eV per atom. The formation energy comes out at -0.046 eV per atom.

Entry 3:
DFT (PBE-GGA) results for crystalline NpUN2 at its relaxed geometry.

abc: 3.0018 4.2357 4.2357
angles: 90.00 90.00 90.00
With the nearest neighbours (Å) after each atom.
Sites, in units of the cell vectors:
Np  0.5000  0.0000  0.0000  8 N 2.60
U  0.5000  0.5000  0.5000  8 N 2.60
N  0.0000  0.0000  0.5000  4 U 2.60, 4 Np 2.60
N  0.0000  0.5000  0.0000  4 U 2.60, 4 Np 2.60

The calculation puts the final energy at -10.7269 eV per atom. The value obtained for the uncorrected formation energy is -2.03 eV/f.u.

Entry 4:
DFT (PBE-GGA) results for crystalline BeRu2Pb at its relaxed geometry.

abc: 5.2803 5.2803 5.2803
angles: 145.82 132.09 60.15
With the nearest neighbours (Å) after each atom.
Sites, in units of the cell vectors:
Pb  0.2715  0.7715  0.5000  6 Ru 2.69-2.90, 2 Be 2.79
Ru  0.9848  0.9848  0.0000  4 Be 2.67, 2 Ru 2.88, 2 Pb 2.90
Ru  0.7187  0.2187  0.5000  2 Be 2.35
Be  0.5249  0.5249  0.0000  2 Ru 2.35

The calculation puts the final energy at -6.0355 eV per atom. The formation energy comes out at 0.461 eV per atom.

Entry 5:
DFT (PBE-GGA) results for crystalline Li3Sc3GeO8 at its relaxed geometry.

abc: 6.1790 6.1790 6.0738
angles: 120.58 90.00 120.00
With the nearest neighbours (Å) after each atom.
Sites, in units of the cell vectors:
Li  0.0000  0.0000  0.0000  6 O 2.20-2.25
Li  0.0000  0.5000  0.0000  6 O 2.20-2.25
Li  0.5000  0.5000  0.0000  6 O 2.20-2.25
Sc  0.5000  0.0000  0.5000  6 O 2.09-2.15
Sc  0.5000  0.5000  0.5000  6 O 2.09-2.15
Sc  0.0000  0.5000  0.5000  6 O 2.09-2.15
Ge  0.0000  0.0000  0.5000  6 O 1.95
O  0.2591  0.5183  0.2774  3 Sc 2.09, 3 Li 2.25
O  0.7409  0.4817  0.7226  3 Sc 2.09, 3 Li 2.25
O  0.7751  0.5503  0.2821  1 Ge 1.95, 2 Sc 2.15
O  0.2249  0.4497  0.7179  1 Ge 1.95, 2 Sc 2.15
O  0.7751  0.0070  0.2821  1 Ge 1.95, 2 Sc 2.15
O  0.2249  0.9930  0.7179  1 Ge 1.95, 2 Sc 2.15
O  0.2318  0.0070  0.2821  1 Ge 1.95, 2 Sc 2.15
O  0.7682  0.9930  0.7179  1 Ge 1.95, 2 Sc 2.15

The calculation puts the final energy at -7.2894 eV per atom. The value obtained for the uncorrected formation energy is -40.32 eV/f.u.

Entry 6:
DFT (PBE-GGA) results for crystalline SnSN2O at its relaxed geometry.

abc: 4.2167 4.2167 5.1549
angles: 90.00 90.00 90.00
With the nearest neighbours (Å) after each atom.
Sites, in units of the cell vectors:
S  0.0000  0.0000  0.5000  2 Sn 2.58
Sn  0.0000  0.0000  0.0000  4 N 2.11
O  0.5000  0.5000  0.5000  4 S 2.98, 8 N 3.33
N  0.0000  0.5000  0.0000  2 Sn 2.11
N  0.5000  0.0000  0.0000  2 Sn 2.11

The calculation puts the final energy at -4.0614 eV per atom. The value obtained for the uncorrected formation energy is 9.43 eV/f.u.

Entry 7:
DFT (PBE-GGA) results for crystalline CdRh3W2 at its relaxed geometry.

abc: 2.8266 2.8266 11.7128
angles: 90.00 90.00 90.00
With the nearest neighbours (Å) after each atom.
Sites, in units of the cell vectors:
Cd  0.5000  0.5000  0.5000  4 Cd 2.83, 8 Rh 2.92
Rh  0.0000  0.0000  0.0000  8 W 2.78, 4 Rh 2.83
Rh  0.0000  0.0000  0.6818  4 W 2.68, 4 Rh 2.83, 4 Cd 2.92
Rh  0.0000  0.0000  0.3182  4 W 2.68, 4 Rh 2.83, 4 Cd 2.92
W  0.5000  0.5000  0.8345  8 Rh 2.68-2.78, 4 W 2.83
W  0.5000  0.5000  0.1655  8 Rh 2.68-2.78, 4 W 2.83

The calculation puts the final energy at -8.3269 eV per atom. The formation energy comes out at -0.181 eV per atom.

Entry 8:
DFT (PBE-GGA) results for crystalline InNiPd2 at its relaxed geometry.

abc: 3.8291 3.8291 9.6502
angles: 78.56 78.56 90.00
With the nearest neighbours (Å) after each atom.
Sites, in units of the cell vectors:
Ni  0.5000  0.5000  0.0000  4 Pd 2.67, 4 In 2.71
Ni  0.2500  0.7500  0.5000  4 Pd 2.67, 4 In 2.71
Pd  0.6140  0.1250  0.2500  4 Pd 2.65-2.77, 2 Ni 2.67, 2 In 2.70
Pd  0.1360  0.6250  0.2500  4 Pd 2.65-2.77, 2 Ni 2.67, 2 In 2.70
Pd  0.3750  0.3860  0.7500  4 Pd 2.65-2.77, 2 Ni 2.67, 2 In 2.70
Pd  0.8750  0.8640  0.7500  4 Pd 2.65-2.77, 2 Ni 2.67, 2 In 2.70
In  0.0000  0.0000  0.0000  4 Pd 2.70, 4 Ni 2.71
In  0.7500  0.2500  0.5000  4 Pd 2.70, 4 Ni 2.71

The calculation puts the final energy at -4.6845 eV per atom. The formation energy comes out at 0.042 eV per atom.

Entry 9:
DFT (PBE-GGA) results for crystalline MnAlP2 at its relaxed geometry.

abc: 3.0539 2.7827 6.6336
angles: 75.27 90.00 90.00
With the nearest neighbours (Å) after each atom.
Sites, in units of the cell vectors:
P  0.0000  0.1331  0.9536  4 Mn 2.43-2.45, 2 Al 2.57, 1 P 2.61
P  0.0000  0.3669  0.5464  4 Mn 2.43-2.45, 2 Al 2.57, 1 P 2.61
Mn  0.5000  0.7500  0.7500  8 P 2.43-2.45
Al  0.5000  0.2500  0.2500  4 P 2.57, 2 Al 2.78

The calculation puts the final energy at -5.9949 eV per atom. The formation energy comes out at -0.062 eV per atom.

Entry 10:
DFT (PBE-GGA) results for crystalline RbAsCl3 at its relaxed geometry.

abc: 8.5120 9.8912 10.0040
angles: 120.95 90.00 90.00
With the nearest neighbours (Å) after each atom.
Sites, in units of the cell vectors:
Rb  0.7385  0.5580  0.4363  7 Cl 3.31-3.62
Rb  0.2615  0.4420  0.5637  7 Cl 3.31-3.62
Rb  0.2385  0.9420  0.0637  7 Cl 3.31-3.62
Rb  0.7615  0.0580  0.9363  7 Cl 3.31-3.62
As  0.1399  0.3966  0.0886  2 Cl 2.26-2.30
As  0.8601  0.6034  0.9114  2 Cl 2.26-2.30
As  0.6399  0.1034  0.4114  2 Cl 2.26-2.30
As  0.3601  0.8966  0.5886  2 Cl 2.26-2.30
Cl  0.0235  0.2770  0.2583  1 As 2.71
Cl  0.9765  0.7230  0.7417  1 As 2.71
Cl  0.5235  0.2230  0.2417  1 As 2.71
Cl  0.4765  0.7770  0.7583  1 As 2.71
Cl  0.3652  0.6536  0.3726  1 As 2.26
Cl  0.6348  0.3464  0.6274  1 As 2.26
Cl  0.8652  0.8464  0.1274  1 As 2.26
Cl  0.1348  0.1536  0.8726  1 As 2.26
Cl  0.6916  0.9755  0.5448  1 As 2.30
Cl  0.3084  0.0245  0.4552  1 As 2.30
Cl  0.1916  0.5245  0.9552  1 As 2.30
Cl  0.8084  0.4755  0.0448  1 As 2.30

The calculation puts the final energy at -3.2303 eV per atom. The value obtained for the uncorrected formation energy is -4.99 eV/f.u.

Entry 11:
DFT (PBE-GGA) results for crystalline Nd2Ho2AlGa4 at its relaxed geometry.

abc: 6.6765 6.6765 6.6765
angles: 96.32 116.42 116.42
With the nearest neighbours (Å) after each atom.
Sites, in units of the cell vectors:
Nd  0.5000  0.7500  0.2500  8 Ga 3.34, 4 Ho 3.56
Nd  0.5000  0.2500  0.7500  8 Ga 3.34, 4 Ho 3.56
Ho  0.0000  0.6848  0.6848  1 Al 2.81, 4 Ga 2.98
Ho  0.0000  0.3152  0.3152  1 Al 2.81, 4 Ga 2.98
Al  0.0000  0.0000  0.0000  4 Ga 2.49
Ga  0.0000  0.7498  0.2502  1 Al 2.49
Ga  0.4997  0.7498  0.7498  1 Al 2.49
Ga  0.0000  0.2502  0.7498  1 Al 2.49
Ga  0.5003  0.2502  0.2502  1 Al 2.49

The calculation puts the final energy at -4.1360 eV per atom. The formation energy comes out at -0.298 eV per atom.

Entry 12:
DFT (PBE-GGA) results for crystalline CaDyAgPt at its relaxed geometry.

abc: 5.0285 5.0285 5.0285
angles: 60.00 60.00 60.00
With the nearest neighbours (Å) after each atom.
Sites, in units of the cell vectors:
Ca  0.2500  0.2500  0.2500  4 Pt 3.08, 4 Ag 3.08
Ag  0.5000  0.5000  0.5000  4 Dy 3.08, 4 Ca 3.08
Pt  0.0000  0.0000  0.0000  4 Dy 3.08, 4 Ca 3.08
Dy  0.7500  0.7500  0.7500  4 Ag 3.08, 4 Pt 3.08

The calculation puts the final energy at -4.5708 eV per atom. The formation energy comes out at -0.697 eV per atom.

Entry 13:
DFT (PBE-GGA) results for crystalline LaIr2Ru at its relaxed geometry.

abc: 4.7209 4.7209 4.7209
angles: 60.00 60.00 60.00
With the nearest neighbours (Å) after each atom.
Sites, in units of the cell vectors:
Ru  0.0000  0.0000  0.0000  8 Ir 2.89
Ir  0.2500  0.2500  0.2500  4 La 2.89, 4 Ru 2.89
Ir  0.7500  0.7500  0.7500  4 La 2.89, 4 Ru 2.89
La  0.5000  0.5000  0.5000  8 Ir 2.89

The calculation puts the final energy at -7.6705 eV per atom. The formation energy comes out at 0.311 eV per atom.

Entry 14:
DFT (PBE-GGA) results for crystalline La6Pr2NdIn at its relaxed geometry.

abc: 9.4682 8.9241 8.9241
angles: 73.69 89.25 89.25
With the nearest neighbours (Å) after each atom.
Sites, in units of the cell vectors:
La  0.1052  0.0076  0.7637  1 Nd 3.30, 1 La 3.38, 1 In 3.40, 2 Pr 3.54-3.61
La  0.3948  0.2363  0.9924  1 Nd 3.30, 1 La 3.38, 1 In 3.40, 2 Pr 3.54-3.61
La  0.8948  0.9924  0.2363  1 Nd 3.30, 1 La 3.38, 1 In 3.40, 2 Pr 3.54-3.61
La  0.6052  0.7637  0.0076  1 Nd 3.30, 1 La 3.38, 1 In 3.40, 2 Pr 3.54-3.61
La  0.5016  0.9017  0.3733  1 La 3.23, 1 In 3.35, 1 Nd 3.38
La  0.9984  0.6267  0.0983  1 La 3.23, 1 In 3.35, 1 Nd 3.38
La  0.4984  0.0983  0.6267  1 La 3.23, 1 In 3.35, 1 Nd 3.38
La  0.0016  0.3733  0.9017  1 La 3.23, 1 In 3.35, 1 Nd 3.38
La  0.1043  0.7170  0.4705  2 In 3.33-3.63, 1 La 3.38, 1 Nd 3.41, 2 Pr 3.50-3.54
La  0.3957  0.5295  0.2830  2 In 3.33-3.63, 1 La 3.38, 1 Nd 3.41, 2 Pr 3.50-3.54
La  0.8957  0.2830  0.5295  2 In 3.33-3.63, 1 La 3.38, 1 Nd 3.41, 2 Pr 3.50-3.54
La  0.6043  0.4705  0.7170  2 In 3.33-3.63, 1 La 3.38, 1 Nd 3.41, 2 Pr 3.50-3.54
Pr  0.3054  0.6598  0.8137  1 In 3.48, 7 La 3.50-3.80, 1 Nd 3.81
Pr  0.1946  0.1863  0.3402  1 In 3.48, 7 La 3.50-3.80, 1 Nd 3.81
Pr  0.6946  0.3402  0.1863  1 In 3.48, 7 La 3.50-3.80, 1 Nd 3.81
Pr  0.8054  0.8137  0.6598  1 In 3.48, 7 La 3.50-3.80, 1 Nd 3.81
Nd  0.2500  0.8877  0.1123  6 La 3.30-3.41
Nd  0.7500  0.1123  0.8877  6 La 3.30-3.41
In  0.2500  0.3683  0.6317  8 La 3.33-3.63, 2 Pr 3.48
In  0.7500  0.6317  0.3683  8 La 3.33-3.63, 2 Pr 3.48

The calculation puts the final energy at -4.6685 eV per atom. The formation energy comes out at -0.006 eV per atom.

Entry 15:
DFT (PBE-GGA) results for crystalline LiGe2RhBr at its relaxed geometry.

abc: 5.1684 4.2107 5.1684
angles: 90.00 90.00 90.00
With the nearest neighbours (Å) after each atom.
Sites, in units of the cell vectors:
Ge  0.0000  0.0000  0.5000  2 Br 2.58
Ge  0.5000  0.0000  0.0000  2 Br 2.58
Rh  0.5000  0.5000  0.5000  8 Ge 3.33, 4 Li 3.65
Br  0.0000  0.0000  0.0000  2 Li 2.11
Li  0.0000  0.5000  0.0000  2 Br 2.11

The calculation puts the final energy at -3.3085 eV per atom. The value obtained for the uncorrected formation energy is 3.63 eV/f.u.

Entry 16:
DFT (PBE-GGA) results for crystalline MgNbCr at its relaxed geometry.

abc: 7.6292 3.0566 11.6693
angles: 90.00 129.21 90.00
With the nearest neighbours (Å) after each atom.
Sites, in units of the cell vectors:
Mg  0.5665  0.0000  0.6482  3 Cr 2.77-2.81, 3 Mg 2.92-3.06
Mg  0.4335  0.0000  0.3518  3 Cr 2.77-2.81, 3 Mg 2.92-3.06
Mg  0.5665  0.5000  0.1482  3 Cr 2.77-2.81, 3 Mg 2.92-3.06
Mg  0.4335  0.5000  0.8518  3 Cr 2.77-2.81, 3 Mg 2.92-3.06
Nb  0.8918  0.0000  0.1173  4 Cr 2.69-2.71, 2 Nb 2.86
Nb  0.1082  0.0000  0.8827  4 Cr 2.69-2.71, 2 Nb 2.86
Nb  0.8918  0.5000  0.6173  4 Cr 2.69-2.71, 2 Nb 2.86
Nb  0.1082  0.5000  0.3827  4 Cr 2.69-2.71, 2 Nb 2.86
Cr  0.8445  0.0000  0.4079  1 Cr 1.95
Cr  0.1555  0.0000  0.5921  1 Cr 1.95
Cr  0.8445  0.5000  0.9079  1 Cr 1.95
Cr  0.1555  0.5000  0.0921  1 Cr 1.95

The calculation puts the final energy at -6.7861 eV per atom. The formation energy comes out at 0.310 eV per atom.

Entry 17:
DFT (PBE-GGA) results for crystalline LiTb2S at its relaxed geometry.

abc: 3.7543 3.7543 8.9374
angles: 77.84 77.84 59.97
With the nearest neighbours (Å) after each atom.
Sites, in units of the cell vectors:
Li  0.4999  0.4999  0.5003  6 Tb 3.47, 6 Li 3.75
Tb  0.0626  0.0626  0.8123  3 S 2.71
Tb  0.2706  0.2706  0.1881  3 S 2.72
S  0.6670  0.6670  0.9992  6 Tb 2.71-2.72

The calculation puts the final energy at -4.6680 eV per atom. The value obtained for the uncorrected formation energy is -3.37 eV/f.u.